(1)
A geometry-optimized TmZrBi structure, computed with GGA-PBE.

Values from the calculation:
Crystal system = tetragonal
Formation energy from the elements = -358 meV/atom
Space group = I4mm, No. 107

a b c (Å): 3.8532 3.8532 5.9032
angles (deg): 109.05 109.05 90.00
Positions (direct):
Tm  0.6168  0.6168  0.2336
Bi  0.9405  0.9405  0.8809
Zr  0.2927  0.2927  0.5855

---

(2)
A geometry-optimized TmZr12Bi6 structure, computed with GGA-PBE.

Values from the calculation:
Crystal system = trigonal
Formation energy from the elements = -154 meV/atom
Space group = R-3, No. 148

a b c (Å): 8.5995 8.5995 8.5995
angles (deg): 110.71 110.71 110.71
Positions (direct):
Bi  0.0702  0.5732  0.3513
Bi  0.4268  0.6487  0.9298
Bi  0.3513  0.0702  0.5732
Bi  0.9298  0.4268  0.6487
Bi  0.5732  0.3513  0.0702
Bi  0.6487  0.9298  0.4268
Zr  0.8153  0.2617  0.8898
Zr  0.8898  0.8153  0.2617
Zr  0.2617  0.8898  0.8153
Zr  0.5287  0.7922  0.6711
Zr  0.6711  0.5287  0.7922
Zr  0.1102  0.1847  0.7383
Zr  0.7383  0.1102  0.1847
Zr  0.2078  0.3289  0.4713
Zr  0.7922  0.6711  0.5287
Zr  0.1847  0.7383  0.1102
Zr  0.4713  0.2078  0.3289
Zr  0.3289  0.4713  0.2078
Tm  0.0000  0.0000  0.0000

---

(3)
A geometry-optimized TmZr2Bi structure, computed with GGA-PBE.

Values from the calculation:
Crystal system = tetragonal
Formation energy from the elements = -193 meV/atom
Space group = P4/mmm, No. 123
Distance to the lowest polymorph of the same formula = 0.00 kJ per mole of atoms

a b c (Å): 4.9536 4.4541 4.4541
angles (deg): 90.00 90.00 90.00
Positions (direct):
Zr  0.0000  0.0000  0.5000
Zr  0.0000  0.5000  0.0000
Tm  0.5000  0.0000  0.0000
Bi  0.5000  0.5000  0.5000

---

(4)
A geometry-optimized Tm4ZrBi5 structure, computed with GGA-PBE.

Values from the calculation:
Crystal system = orthorhombic
Formation energy from the elements = -656 meV/atom
Space group = Immm, No. 71

a b c (Å): 4.3800 6.2052 11.6420
angles (deg): 105.46 100.84 90.00
Positions (direct):
Bi  0.4035  0.9035  0.8070
Bi  0.2006  0.7006  0.4012
Bi  0.7994  0.2994  0.5988
Bi  0.5965  0.0965  0.1930
Bi  0.0000  0.5000  0.0000
Zr  0.0000  0.0000  0.0000
Tm  0.6000  0.6000  0.2000
Tm  0.4000  0.4000  0.8000
Tm  0.8024  0.8024  0.6048
Tm  0.1976  0.1976  0.3952

---

(5)
A geometry-optimized Tm3ZrBi4 structure, computed with GGA-PBE.

Values from the calculation:
Crystal system = monoclinic
Formation energy from the elements = -627 meV/atom
Space group = P2/c, No. 13

a b c (Å): 7.5608 7.5896 8.7792
angles (deg): 90.00 90.00 109.54
Positions (direct):
Zr  0.7500  0.0000  0.8785
Zr  0.2500  0.0000  0.1215
Tm  0.7500  0.5000  0.6239
Tm  0.2500  0.5000  0.3761
Tm  0.2500  0.5000  0.8752
Tm  0.2500  0.0000  0.6253
Tm  0.7500  0.5000  0.1248
Tm  0.7500  0.0000  0.3747
Bi  0.4991  0.7556  0.1228
Bi  0.5042  0.7541  0.6293
Bi  0.0042  0.7541  0.3707
Bi  0.4958  0.2459  0.3707
Bi  0.5009  0.2444  0.8772
Bi  0.0009  0.2444  0.1228
Bi  0.9958  0.2459  0.6293
Bi  0.9991  0.7556  0.8772

---

(6)
A geometry-optimized Tm3ZrBi4 structure, computed with GGA-PBE.

Values from the calculation:
Crystal system = orthorhombic
Formation energy from the elements = -628 meV/atom
Space group = Cmmm, No. 65

a b c (Å): 4.3706 7.5854 7.5854
angles (deg): 109.26 90.00 90.00
Positions (direct):
Bi  0.0000  0.7562  0.7562
Bi  0.5000  0.2467  0.7533
Bi  0.0000  0.2438  0.2438
Bi  0.5000  0.7533  0.2467
Tm  0.5000  0.5000  0.5000
Tm  0.0000  0.5000  0.0000
Tm  0.0000  0.0000  0.5000
Zr  0.5000  0.0000  0.0000

---

(7)
A geometry-optimized Tm2ZrBi structure, computed with GGA-PBE.

Values from the calculation:
Crystal system = trigonal
Formation energy from the elements = -148 meV/atom
Space group = R-3m, No. 166
Distance to the lowest polymorph of the same formula = 10.77 kJ per mole of atoms

a b c (Å): 3.5136 3.5136 10.5756
angles (deg): 80.44 80.44 60.00
Positions (direct):
Tm  0.7510  0.7510  0.7471
Tm  0.2490  0.2490  0.2529
Zr  0.5000  0.5000  0.5000
Bi  0.0000  0.0000  0.0000

---

(8)
A geometry-optimized U6Bi structure, computed with GGA-PBE.

Values from the calculation:
Crystal system = cubic
Formation energy from the elements = 986 meV/atom
Space group = Im-3m, No. 229

a b c (Å): 6.1909 6.1909 6.1909
angles (deg): 109.47 109.47 109.47
Last column: magnetic moment on the atom in μB.
Positions (direct):
U  0.5000  0.7500  0.2500  0.44
U  0.7500  0.5000  0.2500  0.44
U  0.7500  0.2500  0.5000  0.44
U  0.2500  0.5000  0.7500  0.44
U  0.2500  0.7500  0.5000  0.44
U  0.5000  0.2500  0.7500  0.44
Bi  0.0000  0.0000  0.0000  -0.02

---

(9)
A geometry-optimized UBi structure, computed with GGA-PBE.

Values from the calculation:
Crystal system = cubic
Formation energy from the elements = 198 meV/atom
Space group = Fm-3m, No. 225

a b c (Å): 4.4938 4.4938 4.4938
angles (deg): 60.00 60.00 60.00
Last column: magnetic moment on the atom in μB.
Positions (direct):
Bi  0.0000  0.0000  0.0000  -0.10
U  0.5000  0.5000  0.5000  2.61

---

(10)
A geometry-optimized U5Bi structure, computed with GGA-PBE.

Values from the calculation:
Crystal system = orthorhombic
Formation energy from the elements = 221 meV/atom
Space group = Cmmm, No. 65

a b c (Å): 3.9426 5.2185 6.9998
angles (deg): 111.89 90.00 90.00
Last column: magnetic moment on the atom in μB.
Positions (direct):
U  0.5000  0.8064  0.6127  0.06
U  0.0000  0.6724  0.3449  0.27
U  0.5000  0.1936  0.3873  0.06
U  0.5000  0.5000  0.0000  1.50
U  0.0000  0.3276  0.6551  0.27
Bi  0.0000  0.0000  0.0000  -0.02

---

(11)
A geometry-optimized UBi2 structure, computed with GGA-PBE.

Values from the calculation:
Crystal system = tetragonal
Formation energy from the elements = 43 meV/atom
Space group = P4/nmm, No. 129

a b c (Å): 4.4833 4.4833 8.9839
angles (deg): 90.00 90.00 90.00
Last column: magnetic moment on the atom in μB.
Positions (direct):
Bi  0.5000  0.0000  0.3554  -0.12
Bi  0.0000  0.5000  0.6446  -0.12
Bi  0.0000  0.0000  0.0000  -0.05
Bi  0.5000  0.5000  0.0000  -0.05
U  0.5000  0.0000  0.7161  2.10
U  0.0000  0.5000  0.2839  2.10

---

(12)
A geometry-optimized UBi2 structure, computed with GGA-PBE.

Values from the calculation:
Crystal system = tetragonal
Formation energy from the elements = 101 meV/atom
Space group = I4/mmm, No. 139

a b c (Å): 4.0873 4.0873 6.0107
angles (deg): 109.87 109.87 90.02
Last column: magnetic moment on the atom in μB.
Positions (direct):
Bi  0.1552  0.1552  0.3103  0.01
Bi  0.8448  0.8448  0.6897  0.01
U  0.5000  0.5000  0.0000  2.47

---

(13)
A geometry-optimized UBi structure, computed with GGA-PBE.

Values from the calculation:
Crystal system = cubic
Formation energy from the elements = 121 meV/atom
Space group = Pm-3m, No. 221

a b c (Å): 3.8248 3.8248 3.8248
angles (deg): 90.00 90.00 90.00
Last column: magnetic moment on the atom in μB.
Positions (direct):
Bi  0.5000  0.5000  0.5000  -0.17
U  0.0000  0.0000  0.0000  2.66

---

(14)
A geometry-optimized U3Bi4 structure, computed with GGA-PBE.

Values from the calculation:
Crystal system = cubic
Formation energy from the elements = 87 meV/atom
Space group = I-43d, No. 220

a b c (Å): 8.1314 8.1314 8.1314
angles (deg): 109.47 109.47 109.47
Last column: magnetic moment on the atom in μB.
Positions (direct):
U  0.2500  0.6250  0.3750  2.24
U  0.8750  0.1250  0.7500  2.24
U  0.6250  0.3750  0.2500  2.24
U  0.3750  0.2500  0.6250  2.24
U  0.1250  0.7500  0.8750  2.24
U  0.7500  0.8750  0.1250  2.24
Bi  0.0000  0.8421  0.5000  -0.12
Bi  0.5000  0.0000  0.8421  -0.12
Bi  0.6579  0.6579  0.6579  -0.12
Bi  0.1579  0.1579  0.1579  -0.12
Bi  0.0000  0.3421  0.5000  -0.12
Bi  0.5000  0.0000  0.3421  -0.12
Bi  0.3421  0.5000  0.0000  -0.12
Bi  0.8421  0.5000  0.0000  -0.12

---

(15)
A geometry-optimized UBi4 structure, computed with GGA-PBE.

Values from the calculation:
Crystal system = cubic
Formation energy from the elements = 703 meV/atom
Space group = Pm-3m, No. 221

a b c (Å): 5.8675 5.8675 5.8675
angles (deg): 90.00 90.00 90.00
Positions (direct):
U  0.5000  0.5000  0.5000
Bi  0.5000  0.0000  0.5000
Bi  0.5000  0.5000  0.0000
Bi  0.0000  0.0000  0.0000
Bi  0.0000  0.5000  0.5000

---

(16)
A geometry-optimized UVBi structure, computed with GGA-PBE.

Values from the calculation:
Crystal system = trigonal
Formation energy from the elements = 629 meV/atom
Space group = P-3m1, No. 164

a b c (Å): 3.5579 3.5579 13.2845
angles (deg): 90.00 90.00 120.00
Positions (direct):
V  0.6667  0.3333  0.9244
V  0.3333  0.6667  0.0756
Bi  0.0000  0.0000  0.6480
Bi  0.0000  0.0000  0.3520
U  0.6667  0.3333  0.1599
U  0.3333  0.6667  0.8401

---

(17)
A geometry-optimized YUBi2 structure, computed with GGA-PBE.

Values from the calculation:
Crystal system = tetragonal
Formation energy from the elements = -219 meV/atom
Space group = P4/mmm, No. 123
Distance to the lowest polymorph of the same formula = 14.15 kJ per mole of atoms

a b c (Å): 3.8844 5.4366 5.4366
angles (deg): 90.00 90.00 90.00
Last column: magnetic moment on the atom in μB.
Positions (direct):
U  0.5000  0.0000  0.0000  2.57
Bi  0.0000  0.5000  0.0000  -0.13
Bi  0.0000  0.0000  0.5000  -0.13
Y  0.5000  0.5000  0.5000  0.25

---

(18)
A geometry-optimized YUBi2 structure, computed with GGA-PBE.

Values from the calculation:
Crystal system = trigonal
Formation energy from the elements = -366 meV/atom
Space group = R-3m, No. 166
Distance to the lowest polymorph of the same formula = 0.00 kJ per mole of atoms

a b c (Å): 4.4342 4.4342 7.9295
angles (deg): 73.76 73.76 60.00
Last column: magnetic moment on the atom in μB.
Positions (direct):
Bi  0.7491  0.7491  0.7528  -0.06
Bi  0.2509  0.2509  0.2472  -0.06
Y  0.0000  0.0000  0.0000  -0.01
U  0.5000  0.5000  0.5000  2.61

---

(19)
A geometry-optimized Y2UBi3 structure, computed with GGA-PBE.

Values from the calculation:
Crystal system = orthorhombic
Formation energy from the elements = -533 meV/atom
Space group = Fddd, No. 70

a b c (Å): 7.7912 7.7912 14.1180
angles (deg): 100.70 100.70 109.08
Last column: magnetic moment on the atom in μB.
Positions (direct):
U  0.9165  0.9165  0.8330  2.57
U  0.1665  0.6665  0.3330  2.57
U  0.0835  0.0835  0.1670  2.57
U  0.3335  0.8335  0.6670  2.57
Y  0.4993  0.9993  0.9986  0.01
Y  0.0007  0.5007  0.0014  0.01
Y  0.8329  0.3329  0.6658  0.00
Y  0.6671  0.1671  0.3342  0.00
Y  0.2493  0.2493  0.4986  0.01
Y  0.4171  0.4171  0.8342  0.00
Y  0.5829  0.5829  0.1658  0.00
Y  0.7507  0.7507  0.5014  0.01
Bi  0.1650  0.6646  0.8333  -0.05
Bi  0.5012  0.0012  0.5000  -0.05
Bi  0.7488  0.7488  0.0000  -0.05
Bi  0.5817  0.5813  0.6667  -0.05
Bi  0.9988  0.4988  0.5000  -0.05
Bi  0.9146  0.9150  0.3333  -0.05
Bi  0.6683  0.1687  0.8333  -0.05
Bi  0.8313  0.3317  0.1667  -0.05
Bi  0.0850  0.0854  0.6667  -0.05
Bi  0.2512  0.2512  0.0000  -0.05
Bi  0.4187  0.4183  0.3333  -0.05
Bi  0.3354  0.8350  0.1667  -0.05

---

(20)
A geometry-optimized UZnBi2 structure, computed with GGA-PBE.

Values from the calculation:
Crystal system = tetragonal
Formation energy from the elements = 40 meV/atom
Space group = P4/mmm, No. 123

a b c (Å): 4.2091 4.9289 4.9289
angles (deg): 90.00 90.00 90.00
Last column: magnetic moment on the atom in μB.
Positions (direct):
Bi  0.0000  0.0000  0.5000  -0.05
Bi  0.0000  0.5000  0.0000  -0.05
Zn  0.5000  0.0000  0.0000  0.00
U  0.5000  0.5000  0.5000  2.18